Entry 1:
AsRuN2F after structural relaxation, computed with PBE.

Unit cell a=3.8779 b=3.8779 c=3.8493 alpha=90.00 beta=90.00 gamma=90.00
Last column: nearest neighbours and their distance in Å.
Space group P4/mmm (No. 123)
Asymmetric unit:
1 As 0.0000 0.0000 0.0000 x1  2 F 1.92, 4 N 1.94
2 Ru 0.5000 0.5000 0.5000 x1  8 N 2.73, 4 F 2.74
3 N 0.0000 0.5000 0.0000 x2  2 As 1.94
4 F 0.0000 0.0000 0.5000 x1  2 As 1.92

Values from the calculation:
calculated total energy: -26.87 eV/cell
calculated density: 6.4 g cm⁻³
size of the total moment: 2.593 μB per formula unit
uncorrected formation energy: 1.116 eV/atom

=====

Entry 2:
Tc2RuRh6 after structural relaxation, computed with PBE.

Unit cell a=8.5870 b=3.8369 c=8.1703 alpha=90.00 beta=108.08 gamma=90.00
Last column: nearest neighbours and their distance in Å.
Space group C2/m (No. 12)
Asymmetric unit:
1 Tc 0.1716 0.0000 0.0533 x4  3 Tc 2.64-2.80, 9 Rh 2.66-2.76
2 Ru 0.0000 0.5000 0.5000 x2  12 Rh 2.69-2.74
3 Rh 0.0020 0.5000 0.8344 x4  5 Tc 2.66-2.76, 6 Rh 2.69-2.75, 1 Ru 2.73
4 Rh 0.1659 0.0000 0.7262 x4  3 Tc 2.66-2.70, 7 Rh 2.69-2.76, 2 Ru 2.74
5 Rh 0.1709 0.0000 0.3906 x4  8 Rh 2.69-2.76, 3 Ru 2.69-2.73, 1 Tc 2.76

Values from the calculation:
calculated total energy: -148.62 eV/cell
calculated density: 11.9 g cm⁻³
size of the total moment: 0.000 μB per formula unit
ΔH_f (0 K): -0.021 eV/atom

=====

Entry 3:
ReSi after structural relaxation, computed with PBE.

Unit cell a=3.7180 b=3.7180 c=7.9490 alpha=90.00 beta=90.00 gamma=90.00
Last column: nearest neighbours and their distance in Å.
Space group I4_1/amd (No. 141, origin choice 2)
Asymmetric unit:
1 Re 0.0000 0.2500 0.3750 x4  8 Si 2.63-2.72, 4 Re 2.72
2 Si 0.0000 0.2500 0.8750 x4  8 Re 2.63-2.72, 4 Si 2.72

Values from the calculation:
calculated total energy: -70.43 eV/cell
calculated density: 13.0 g cm⁻³
size of the total moment: 0.000 μB per formula unit
uncorrected formation energy: 0.132 eV/atom

=====

Entry 4:
Ce3Tl after structural relaxation, computed with PBE.

Unit cell a=3.3578 b=5.5710 c=5.8053 alpha=90.00 beta=90.00 gamma=90.00
Last column: nearest neighbours and their distance in Å.
Space group Pmm2 (No. 25)
Asymmetric unit:
1 Ce 0.0000 0.0000 0.0000 x1  6 Ce 3.17-3.54, 4 Tl 3.29
2 Ce 0.0000 0.5000 0.4260 x1  4 Tl 3.30-3.41, 6 Ce 3.32-3.36
3 Ce 0.5000 0.0000 0.5371 x1  10 Ce 3.17-3.54, 2 Tl 3.55
4 Tl 0.5000 0.5000 0.9150 x1  10 Ce 3.29-3.55, 2 Tl 3.36

Values from the calculation:
calculated total energy: -20.53 eV/cell
calculated density: 9.6 g cm⁻³
size of the total moment: 1.299 μB per formula unit
ΔH_f (0 K): -0.091 eV/atom

=====

Entry 5:
SrGa2Br after structural relaxation, computed with PBE.

Unit cell a=9.0202 b=9.0202 c=5.9894 alpha=90.00 beta=90.00 gamma=90.00
Last column: nearest neighbours and their distance in Å.
Space group I-42d (No. 122)
Asymmetric unit:
1 Sr 0.0000 0.0000 0.0000 x4  2 Br 2.99
2 Ga 0.2330 0.2500 0.6250 x8  2 Ga 3.01, 2 Br 3.17
3 Br 0.0000 0.0000 0.5000 x4  2 Sr 2.99, 4 Ga 3.17

Values from the calculation:
calculated total energy: -42.94 eV/cell
calculated density: 4.2 g cm⁻³
size of the total moment: 0.000 μB per formula unit
uncorrected formation energy: -0.331 eV/atom

=====

Entry 6:
NdHfAu2 after structural relaxation, computed with PBE.

Unit cell a=3.8447 b=3.8447 c=23.2906 alpha=90.00 beta=90.00 gamma=120.00
Last column: nearest neighbours and their distance in Å.
Space group R-3m (No. 166, hexagonal axes)
Asymmetric unit:
1 Nd 0.0000 0.0000 0.0000 x3  6 Au 3.12
2 Hf 0.0000 0.0000 0.5000 x3  6 Au 2.79
3 Au 0.0000 0.0000 0.2394 x6  3 Hf 2.79, 3 Nd 3.12

Values from the calculation:
calculated total energy: -68.71 eV/cell
calculated density: 12.0 g cm⁻³
size of the total moment: 0.000 μB per formula unit
ΔH_f (0 K): -0.407 eV/atom

=====

Entry 7:
SrLa2Ag2 after structural relaxation, computed with PBE.

Unit cell a=3.8061 b=29.0872 c=5.5971 alpha=90.00 beta=90.00 gamma=90.00
Last column: nearest neighbours and their distance in Å.
Space group Cmcm (No. 63)
Asymmetric unit:
1 Sr 0.0000 0.1406 0.2500 x4  6 Ag 3.38-3.49
2 La 0.0000 0.0484 0.7500 x4  8 Ag 3.20-3.39
3 La 0.0000 0.2317 0.7500 x4  2 Ag 3.24, 4 La 3.55
4 Ag 0.0000 0.3586 0.2500 x4  4 La 3.24-3.31, 4 Sr 3.38
5 Ag 0.0000 0.4598 0.7500 x4  6 La 3.20-3.39, 2 Sr 3.49

Values from the calculation:
calculated total energy: -72.65 eV/cell
calculated density: 6.2 g cm⁻³
size of the total moment: 0.000 μB per formula unit
ΔH_f (0 K): -0.185 eV/atom

=====

Entry 8:
CeSbO after structural relaxation, computed with PBE.

Unit cell a=3.9683 b=3.9683 c=10.1438 alpha=90.00 beta=90.00 gamma=120.00
Last column: nearest neighbours and their distance in Å.
Space group P-3m1 (No. 164)
Asymmetric unit:
1 Ce 0.3333 0.6667 0.3534 x2  4 O 2.35-2.37
2 Sb 0.3333 0.6667 0.9099 x2  3 Sb 2.93
3 O 0.3333 0.6667 0.5854 x2  4 Ce 2.35-2.37

Values from the calculation:
calculated total energy: -41.44 eV/cell
calculated density: 6.7 g cm⁻³
size of the total moment: 1.181 μB per formula unit
uncorrected formation energy: -1.902 eV/atom

=====

Entry 9:
PuThTcPt after structural relaxation, computed with PBE.

Unit cell a=7.0379 b=7.0379 c=7.0379 alpha=90.00 beta=90.00 gamma=90.00
Last column: nearest neighbours and their distance in Å.
Space group F-43m (No. 216)
Asymmetric unit:
1 Pu 0.0000 0.0000 0.0000 x4  4 Tc 3.05, 4 Pt 3.05
2 Th 0.0000 0.0000 0.5000 x4  4 Pt 3.05, 4 Tc 3.05
3 Tc 0.2500 0.2500 0.2500 x4  4 Th 3.05, 4 Pu 3.05
4 Pt 0.2500 0.2500 0.7500 x4  4 Th 3.05, 4 Pu 3.05

Values from the calculation:
calculated total energy: -158.66 eV/cell
calculated density: 14.7 g cm⁻³
size of the total moment: 4.602 μB per formula unit
ΔH_f (0 K): -0.377 eV/atom

=====

Entry 10:
Ac8Ni3PtI3 after structural relaxation, computed with PBE.

Unit cell a=15.2137 b=8.7983 c=9.8868 alpha=90.00 beta=120.92 gamma=90.00
Last column: nearest neighbours and their distance in Å.
Space group C2/m (No. 12)
Asymmetric unit:
1 Ac 0.0240 0.2442 0.3151 x8  2 Ni 2.95-2.96, 1 Pt 3.04
2 Ac 0.2280 0.0000 0.6852 x4  3 Ni 2.98-2.99
3 Ac 0.2324 0.5000 0.6853 x4  2 Ni 2.96, 1 Pt 3.03
4 Ni 0.0000 0.0000 0.5000 x2  6 Ac 2.96-2.98
5 Ni 0.2500 0.2500 0.5000 x4  6 Ac 2.95-2.99
6 Pt 0.0000 0.5000 0.5000 x2  6 Ac 3.03-3.04
7 I 0.0000 0.5000 0.0000 x2  6 Ac 3.68-3.71
8 I 0.2500 0.2500 0.0000 x4  6 Ac 3.68-3.71

Values from the calculation:
calculated total energy: -142.98 eV/cell
calculated density: 7.5 g cm⁻³
size of the total moment: 0.000 μB per formula unit
uncorrected formation energy: -0.706 eV/atom

=====

Entry 11:
MgBeB after structural relaxation, computed with PBE.

Unit cell a=3.9526 b=4.7612 c=4.8210 alpha=64.94 beta=89.98 gamma=65.61
Last column: nearest neighbours and their distance in Å.
Space group P-1 (No. 2)
Asymmetric unit:
1 Mg 0.1842 0.1307 0.1881 x2  5 B 2.54-2.75, 2 Be 2.62
2 Be 0.2543 0.4995 0.5003 x2  2 B 1.89, 2 Be 1.94-2.01
3 B 0.4942 0.5116 0.1592 x2  1 B 1.58

Values from the calculation:
calculated total energy: -23.05 eV/cell
calculated density: 2.0 g cm⁻³
size of the total moment: 0.000 μB per formula unit
ΔH_f (0 K): 0.158 eV/atom

=====

Entry 12:
MgNi2Os after structural relaxation, computed with PBE.

Unit cell a=2.6952 b=2.6952 c=25.4476 alpha=90.00 beta=90.00 gamma=120.00
Last column: nearest neighbours and their distance in Å.
Space group R-3m (No. 166, hexagonal axes)
Asymmetric unit:
1 Mg 0.0000 0.0000 0.0000 x3  6 Ni 2.67, 6 Mg 2.70
2 Ni 0.0000 0.0000 0.2478 x6  3 Os 2.59, 3 Mg 2.67, 6 Ni 2.70
3 Os 0.0000 0.0000 0.5000 x3  6 Ni 2.59, 6 Os 2.70

Values from the calculation:
calculated total energy: -71.72 eV/cell
calculated density: 10.3 g cm⁻³
size of the total moment: 0.000 μB per formula unit
ΔH_f (0 K): 0.120 eV/atom

=====

> Which formula does entry 11 have?

MgBeB